1.
Compound: NdMg2ZnSn2
Source: Alexandria
Functional: PBE
Structure: relaxed

Lattice parameters (Å, degrees): 4.6497 7.3715 8.6749 90.00 90.00 90.00
Sites, in units of the cell vectors:
1 Sn 0.0000 0.2368 0.8340
2 Sn 0.0000 0.7368 0.1660
3 Sn 0.5000 0.2801 0.3452
4 Sn 0.5000 0.7801 0.6548
5 Nd 0.0000 0.5016 0.5343
6 Nd 0.0000 0.0016 0.4657
7 Zn 0.5000 0.1845 0.6651
8 Zn 0.5000 0.6845 0.3349
9 Mg 0.0000 0.8389 0.8499
10 Mg 0.5000 0.0036 0.0934
11 Mg 0.5000 0.5036 0.9066
12 Mg 0.0000 0.3389 0.1501

Computed properties:
The crystal system is orthorhombic. Its space group is No. 26. The calculated total energy comes out at -38.46 eV for the cell shown.

***

2.
Compound: PuBeSi3
Source: Alexandria
Functional: PBE
Structure: relaxed

Lattice parameters (Å, degrees): 4.1909 4.1909 5.3343 66.87 66.87 90.00
Last column: magnetic moment on the atom in μB.
Sites, in units of the cell vectors:
1 Si 0.1450 0.4484 0.4154  -0.03
2 Si 0.6450 0.9485 0.4153  -0.03
3 Si 0.7861 0.5897 0.1330  -0.03
4 Be 0.0362 0.8396 0.6330  -0.03
5 Pu 0.3954 0.1989 0.9144  5.29

Computed properties:
The crystal system is tetragonal. Its space group is No. 107. The calculated total energy comes out at -35.36 eV for the cell shown.

***

3.
Compound: CuSi2Te
Source: Alexandria
Functional: PBE
Structure: relaxed

Lattice parameters (Å, degrees): 3.4034 3.4034 6.8098 90.00 90.00 90.00
Sites, in units of the cell vectors:
1 Si 0.0000 0.0000 0.9910
2 Si 0.5000 0.5000 0.1375
3 Cu 0.5000 0.5000 0.7874
4 Te 0.0000 0.0000 0.5842

Computed properties:
The crystal system is tetragonal. Its space group is No. 99. The calculated total energy comes out at -16.63 eV for the cell shown.

***

4.
Compound: Ti4HPd
Source: Alexandria
Functional: PBE
Structure: relaxed

Lattice parameters (Å, degrees): 4.7355 5.4537 7.4898 111.35 108.11 90.00
Sites, in units of the cell vectors:
1 H 0.7103 0.4166 0.8333
2 H 0.2897 0.5834 0.1667
3 Ti 0.6074 0.3553 0.2142
4 Ti 0.0000 0.2504 0.0000
5 Ti 0.1904 0.7074 0.4147
6 Ti 0.6074 0.8589 0.2142
7 Ti 0.0000 0.7496 0.0000
8 Ti 0.8096 0.2926 0.5853
9 Ti 0.3926 0.1411 0.7858
10 Ti 0.3926 0.6447 0.7858
11 Pd 0.1893 0.1878 0.3757
12 Pd 0.8107 0.8122 0.6243

Computed properties:
The crystal system is monoclinic. Its space group is No. 12. The calculated total energy comes out at -82.70 eV for the cell shown.

***

5.
Compound: Bi2Pd5Pb
Source: Alexandria
Functional: PBE
Structure: relaxed

Lattice parameters (Å, degrees): 6.7998 6.7998 5.8843 125.30 125.30 90.00
Sites, in units of the cell vectors:
1 Pd 0.7652 0.7652 0.5304
2 Pd 0.6875 0.2559 0.9434
3 Pd 0.6875 0.6875 0.9434
4 Pd 0.2559 0.6875 0.9434
5 Pd 0.2559 0.2559 0.9434
6 Pb 0.1659 0.1659 0.3318
7 Bi 0.2296 0.7296 0.4591
8 Bi 0.7296 0.2296 0.4591

Computed properties:
The crystal system is tetragonal. Its space group is No. 107. The calculated total energy comes out at -38.92 eV for the cell shown.

***

6.
Compound: SrReW
Source: Alexandria
Functional: PBE
Structure: relaxed

Lattice parameters (Å, degrees): 4.5787 4.5787 4.5787 60.00 60.00 60.00
Sites, in units of the cell vectors:
1 Sr 0.0000 0.0000 0.0000
2 W 0.5000 0.5000 0.5000
3 Re 0.7500 0.7500 0.7500

Computed properties:
The crystal system is cubic. Its space group is No. 216. The calculation puts the polymorph energy (0 for the lowest one) at 0.708 eV per atom.

***

Number 1: size of the total moment 0.000 μB per cell. Number 2: size of the total moment 5.587 μB per cell. Number 3: size of the total moment 0.000 μB per cell. Number 4: size of the total moment 0.000 μB per cell. Number 5: size of the total moment 0.000 μB per cell. Number 6: size of the total moment 0.000 μB per cell.